[1]
Density functional theory data (PBE) for a geometry-optimized NaScZnS3 structure.

Properties
SG ... No. 62
Calculated volume ... 20.77 Å³/atom
ΔE to the lowest computed polymorph ... 65 meV per atom

Lattice parameters (Å, degrees): 9.2407 3.8064 14.1699 90.00 90.00 90.00
Closest atoms and distances in Å follow each position.
Fractional positions:
Na1 0.9753 0.7500 0.1616  4 S 2.77-2.95
Na2 0.4753 0.7500 0.3384  4 S 2.77-2.95
Na3 0.5247 0.2500 0.6616  4 S 2.77-2.95
Na4 0.0247 0.2500 0.8384  4 S 2.77-2.95
S1 0.8260 0.2500 0.0361  1 Zn 2.31, 2 Sc 2.58
S2 0.5019 0.7500 0.1035  2 Zn 2.43, 3 Sc 2.70-2.71
S3 0.1875 0.2500 0.1938  1 Zn 2.23, 1 Sc 2.41
S4 0.6875 0.2500 0.3062  1 Zn 2.23, 1 Sc 2.41
S5 0.0019 0.7500 0.3965  2 Zn 2.43, 3 Sc 2.70-2.71
S6 0.3260 0.2500 0.4639  1 Zn 2.31, 2 Sc 2.58
S7 0.6740 0.7500 0.5361  1 Zn 2.31, 2 Sc 2.58
S8 0.9981 0.2500 0.6035  2 Zn 2.43, 3 Sc 2.70-2.71
S9 0.3125 0.7500 0.6938  1 Zn 2.23, 1 Sc 2.41
S10 0.8125 0.7500 0.8062  1 Zn 2.23, 1 Sc 2.41
S11 0.4981 0.2500 0.8965  2 Zn 2.43, 3 Sc 2.70-2.71
S12 0.1740 0.7500 0.9639  1 Zn 2.31, 2 Sc 2.58
Sc1 0.3151 0.2500 0.0456  3 S 2.41-2.58
Sc2 0.8151 0.2500 0.4544  3 S 2.41-2.58
Sc3 0.1849 0.7500 0.5456  3 S 2.41-2.58
Sc4 0.6849 0.7500 0.9544  3 S 2.41-2.58
Zn1 0.6489 0.2500 0.1510  4 S 2.23-2.43
Zn2 0.1489 0.2500 0.3490  4 S 2.23-2.43
Zn3 0.8511 0.7500 0.6510  4 S 2.23-2.43
Zn4 0.3511 0.7500 0.8490  4 S 2.23-2.43

[2]
Density functional theory data (PBE) for a geometry-optimized YHgGeTe3 structure.

Properties
SG ... No. 63
Calculated volume ... 33.55 Å³/atom
Final energy ... -3.999 eV per atom

Lattice parameters (Å, degrees): 7.9258 7.9258 11.7102 90.00 90.00 146.81
Closest atoms and distances in Å follow each position.
Fractional positions:
Ge1 0.9582 0.0418 0.2500  4 Te 2.73-2.84
Ge2 0.0418 0.9582 0.7500  4 Te 2.73-2.84
Hg1 0.2447 0.7553 0.2500  6 Te 3.48-3.71
Hg2 0.7553 0.2447 0.7500  6 Te 3.48-3.71
Te1 0.8636 0.1364 0.0515  1 Ge 2.73
Te2 0.5710 0.4290 0.2500  2 Ge 2.84, 2 Y 3.12
Te3 0.8636 0.1364 0.4485  1 Ge 2.73
Te4 0.1364 0.8636 0.5515  1 Ge 2.73
Te5 0.4290 0.5710 0.7500  2 Ge 2.84, 2 Y 3.12
Te6 0.1364 0.8636 0.9485  1 Ge 2.73
Y1 0.5000 0.5000 0.0000  6 Te 3.12-3.13
Y2 0.5000 0.5000 0.5000  6 Te 3.12-3.13

[3]
Density functional theory data (PBE) for a geometry-optimized Be3ZnAu structure.

Properties
SG ... No. 65
Calculated volume ... 12.29 Å³/atom
Final energy ... -2.925 eV per atom

Lattice parameters (Å, degrees): 12.2172 12.2172 2.7184 90.00 90.00 162.37
Closest atoms and distances in Å follow each position.
Fractional positions:
Au1 0.8772 0.1228 0.0000  5 Be 2.35-2.59
Au2 0.1228 0.8772 0.0000  5 Be 2.35-2.59
Be1 0.7754 0.2246 0.0000  2 Be 2.24, 6 Zn 2.46, 1 Au 2.46
Be2 0.5489 0.4511 0.0000  5 Be 2.32-2.36, 2 Au 2.59
Be3 0.4511 0.5489 0.0000  5 Be 2.32-2.36, 2 Au 2.59
Be4 0.2246 0.7754 0.0000  2 Be 2.24, 6 Zn 2.46, 1 Au 2.46
Be5 0.9566 0.0434 0.5000  5 Be 2.10-2.32, 2 Au 2.35
Be6 0.0434 0.9566 0.5000  5 Be 2.10-2.32, 2 Au 2.35
Zn1 0.6906 0.3094 0.5000  6 Be 2.46, 2 Zn 2.72
Zn2 0.3094 0.6906 0.5000  6 Be 2.46, 2 Zn 2.72

[4]
Density functional theory data (PBE) for a geometry-optimized YLuCoGe structure.

Properties
SG ... No. 216
Calculated volume ... 19.05 Å³/atom
ΔE to the lowest computed polymorph ... 0 meV per atom

Lattice parameters (Å, degrees): 4.7589 4.7589 4.7589 60.00 60.00 60.00
Closest atoms and distances in Å follow each position.
Fractional positions:
Co1 0.7500 0.7500 0.7500  4 Lu 2.91, 4 Ge 2.91
Ge1 0.0000 0.0000 0.0000  4 Y 2.91, 4 Co 2.91
Lu1 0.5000 0.5000 0.5000  4 Co 2.91, 4 Y 2.91
Y1 0.2500 0.2500 0.2500  4 Ge 2.91, 4 Lu 2.91

[5]
Density functional theory data (PBE) for a geometry-optimized TmSbMo structure.

Properties
SG ... No. 216
Calculated volume ... 24.01 Å³/atom
ΔE to the lowest computed polymorph ... 0 meV per atom

Lattice parameters (Å, degrees): 4.6700 4.6700 4.6700 60.00 60.00 60.00
Closest atoms and distances in Å follow each position.
Fractional positions:
Mo1 0.0000 0.0000 0.0000  4 Tm 2.86, 4 Sb 2.86
Sb1 0.2500 0.2500 0.2500  4 Mo 2.86
Tm1 0.7500 0.7500 0.7500  4 Mo 2.86

[6]
Density functional theory data (PBE) for a geometry-optimized Tb2NdGa3AgPt2 structure.

Properties
SG ... No. 38
Calculated volume ... 20.94 Å³/atom
Final energy ... -5.089 eV per atom

Lattice parameters (Å, degrees): 3.8658 7.5161 7.5161 120.33 90.00 90.00
Closest atoms and distances in Å follow each position.
Fractional positions:
Ag1 0.0000 0.0039 0.0039  6 Ga 2.74-2.80, 2 Tb 3.06
Ga1 0.5000 0.7339 0.0027  2 Pt 2.73-2.81, 2 Ag 2.80
Ga2 0.5000 0.2638 0.2638  2 Ag 2.74, 2 Pt 2.83
Ga3 0.5000 0.0027 0.7339  2 Pt 2.73-2.81, 2 Ag 2.80
Nd1 0.0000 0.5903 0.5903  4 Pt 3.02, 1 Ag 3.09, 6 Ga 3.11-3.34
Pt1 0.5000 0.6688 0.3281  3 Ga 2.73-2.83, 4 Tb 2.96, 2 Nd 3.02
Pt2 0.5000 0.3281 0.6688  3 Ga 2.73-2.83, 4 Tb 2.96, 2 Nd 3.02
Tb1 0.0000 0.9992 0.4093  4 Pt 2.96, 1 Ag 3.06, 4 Ga 3.10-3.30
Tb2 0.0000 0.4093 0.9992  4 Pt 2.96, 1 Ag 3.06, 4 Ga 3.10-3.30